VASP calculation (GGA-PBE) on a relaxed structure of KTcMo4.

Lattice parameters (Å, degrees): 5.347 5.347 5.347 60.00 60.00 60.00
Fractional coordinates of all 6 atoms:
K 0.000 0.000 0.000
Tc 0.750 0.750 0.750
Mo 0.875 0.375 0.375
Mo 0.375 0.375 0.875
Mo 0.375 0.875 0.375
Mo 0.375 0.375 0.375

## Properties
Symmetry ... F-43m (216)
E_form ... 1.040 eV/atom


VASP calculation (GGA-PBE) on a relaxed structure of RbNp2SbO8.

Lattice parameters (Å, degrees): 5.282 5.284 7.153 89.42 89.40 87.21
Each line ends with the local moment (μB).
Fractional coordinates of all 12 atoms:
Rb 0.000 0.000 0.500  0.00
Np 0.493 0.493 0.756  1.23
Np 0.507 0.507 0.244  1.23
Sb 0.000 0.000 0.000  -0.01
O 0.234 0.771 0.215  -0.05
O 0.683 0.682 0.014  -0.05
O 0.770 0.233 0.215  -0.05
O 0.766 0.229 0.785  -0.05
O 0.317 0.318 0.986  -0.05
O 0.230 0.767 0.785  -0.05
O 0.657 0.655 0.538  -0.07
O 0.343 0.345 0.462  -0.07

## Properties
Symmetry ... P-1 (2)
Raw formation energy ... -2.22 eV/atom


Taking the records one at a time from the top gives DOS at the Fermi energy values of 3.03 3.28 states/eV per cell.